No. 1
DFT (GGA-PBE) results for a relaxed structure of Rb2TcHBr6.

Symmetry: I4/mmm (139)
Total magnetic moment: 0.40 μB/atom
N(E_F): 0.00 states/eV/cell
Calculated total energy: -3.304 eV/atom

a = 7.616 Å, b = 7.616 Å, c = 7.616 Å
α = 120.18°, β = 120.18°, γ = 89.69°
Atoms (fractional coordinates):
Rb: 0.250 0.750 0.500
Rb: 0.750 0.250 0.500
Tc: 0.000 0.000 0.000
H: 0.500 0.500 0.000
Br: 0.236 0.236 0.000
Br: 0.237 0.237 0.474
Br: 0.237 0.763 0.000
Br: 0.763 0.237 0.000
Br: 0.763 0.763 0.526
Br: 0.764 0.764 0.000

=====

No. 2
DFT (GGA-PBE) results for a relaxed structure of NdDy5ErSc2.

Symmetry: Cmc2_1 (36)
Formation energy from the elements: 0.169 eV per atom
Total magnetic moment: 0.00 μB/atom
N(E_F): 26.86 states/eV/cell

a = 11.107 Å, b = 11.107 Å, c = 9.317 Å
α = 90.00°, β = 90.00°, γ = 150.83°
Atoms (fractional coordinates):
Nd: 0.184 0.816 0.500
Nd: 0.816 0.184 0.000
Dy: 0.009 0.991 0.496
Dy: 0.266 0.734 0.815
Dy: 0.307 0.693 0.201
Dy: 0.393 0.607 0.529
Dy: 0.468 0.532 0.230
Dy: 0.532 0.468 0.730
Dy: 0.607 0.393 0.029
Dy: 0.693 0.307 0.701
Dy: 0.734 0.266 0.315
Dy: 0.991 0.009 0.996
Er: 0.403 0.597 0.902
Er: 0.597 0.403 0.402
Sc: 0.114 0.886 0.808
Sc: 0.137 0.863 0.182
Sc: 0.863 0.137 0.682
Sc: 0.886 0.114 0.308

=====

No. 3
DFT (GGA-PBE) results for a relaxed structure of CsRb3Zr.

Symmetry: Pm-3m (221)
Relative energy among the computed polymorphs: 0.0000 eV per atom
Formation energy from the elements: 0.857 eV per atom
Total magnetic moment: 0.92 μB/atom
N(E_F): 4.43 states/eV/cell

a = 7.344 Å, b = 7.344 Å, c = 7.344 Å
α = 90.00°, β = 90.00°, γ = 90.00°
Atoms (fractional coordinates):
Cs: 0.000 0.000 0.000
Rb: 0.000 0.500 0.500
Rb: 0.500 0.000 0.500
Rb: 0.500 0.500 0.000
Zr: 0.500 0.500 0.500

=====

No. 4
DFT (GGA-PBE) results for a relaxed structure of AlMo3S.

Symmetry: Pm-3m (221)
Relative energy among the computed polymorphs: 0.0000 eV per atom
Formation energy without anion corrections: 168.0 kJ/mol of formula units
Total magnetic moment: 0.00 μB/atom
N(E_F): 5.29 states/eV/cell

a = 4.412 Å, b = 4.412 Å, c = 4.412 Å
α = 90.00°, β = 90.00°, γ = 90.00°
Atoms (fractional coordinates):
Al: 0.000 0.000 0.000
Mo: 0.000 0.500 0.500
Mo: 0.500 0.000 0.500
Mo: 0.500 0.500 0.000
S: 0.500 0.500 0.500

=====

No. 5
DFT (GGA-PBE) results for a relaxed structure of PaInP2Ru5.

Symmetry: P4/mmm (123)
Formation energy from the elements: -0.450 eV per atom
Total magnetic moment: 0.00 μB/atom
N(E_F): 5.86 states/eV/cell

a = 4.187 Å, b = 4.187 Å, c = 8.199 Å
α = 90.00°, β = 90.00°, γ = 90.00°
Atoms (fractional coordinates):
Pa: 0.000 0.000 0.000
In: 0.000 0.000 0.500
P: 0.500 0.500 0.364
P: 0.500 0.500 0.636
Ru: 0.000 0.500 0.247
Ru: 0.000 0.500 0.753
Ru: 0.500 0.000 0.247
Ru: 0.500 0.000 0.753
Ru: 0.500 0.500 0.000

=====

No. 6
DFT (GGA-PBE) results for a relaxed structure of CdIn2Cu.

Symmetry: Pm (6)
Formation energy from the elements: 0.105 eV per atom
Total magnetic moment: 0.00 μB/atom
N(E_F): 0.90 states/eV/cell

a = 3.728 Å, b = 4.374 Å, c = 5.682 Å
α = 90.00°, β = 108.85°, γ = 90.00°
Atoms (fractional coordinates):
Cd: 0.000 0.000 0.000
In: 0.410 0.500 0.817
In: 0.720 0.000 0.443
Cu: 0.154 0.500 0.307

=====

No. 7
DFT (GGA-PBE) results for a relaxed structure of KSrHfMn2.

Symmetry: P4/mmm (123)
Formation energy from the elements: 2.416 eV per atom
Total magnetic moment: 0.02 μB/atom
N(E_F): 11.19 states/eV/cell

a = 4.787 Å, b = 4.787 Å, c = 5.085 Å
α = 90.00°, β = 90.00°, γ = 90.00°
Atoms (fractional coordinates):
K: 0.000 0.000 0.000
Sr: 0.000 0.000 0.500
Hf: 0.500 0.500 0.000
Mn: 0.000 0.500 0.500
Mn: 0.500 0.000 0.500

=====

No. 8
DFT (GGA-PBE) results for a relaxed structure of BaU2MnS8.

Symmetry: P2/m (10)
Formation energy without anion corrections: -1258.3 kJ/mol of formula units
Total magnetic moment: 0.42 μB/atom
N(E_F): 3.26 states/eV/cell

a = 6.186 Å, b = 8.251 Å, c = 6.402 Å
α = 90.00°, β = 96.59°, γ = 90.00°
Atoms (fractional coordinates):
Ba: 0.000 0.000 0.000
U: 0.500 0.258 0.500
U: 0.500 0.742 0.500
Mn: 0.000 0.500 0.000
S: 0.241 0.302 0.173
S: 0.241 0.698 0.173
S: 0.294 0.500 0.642
S: 0.297 0.000 0.625
S: 0.703 0.000 0.375
S: 0.706 0.500 0.358
S: 0.759 0.302 0.827
S: 0.759 0.698 0.827

=====

No. 9
DFT (GGA-PBE) results for a relaxed structure of ThZr2B6.

Symmetry: P6/mmm (191)
Formation energy from the elements: -0.671 eV per atom
Total magnetic moment: 0.00 μB/atom
N(E_F): 1.44 states/eV/cell

a = 5.646 Å, b = 5.646 Å, c = 3.815 Å
α = 90.00°, β = 90.00°, γ = 120.00°
Atoms (fractional coordinates):
Th: 0.000 0.000 0.000
Zr: 0.333 0.667 0.000
Zr: 0.667 0.333 0.000
B: 0.000 0.342 0.500
B: 0.000 0.658 0.500
B: 0.342 0.000 0.500
B: 0.342 0.342 0.500
B: 0.658 0.000 0.500
B: 0.658 0.658 0.500

=====

No. 10
DFT (GGA-PBE) results for a relaxed structure of PIrO2F.

Symmetry: P4/mmm (123)
Formation energy without anion corrections: 556.4 kJ/mol of formula units
Total magnetic moment: 0.26 μB/atom
N(E_F): 3.85 states/eV/cell

a = 4.060 Å, b = 4.060 Å, c = 3.515 Å
α = 90.00°, β = 90.00°, γ = 90.00°
Atoms (fractional coordinates):
P: 0.000 0.000 0.000
Ir: 0.500 0.500 0.000
O: 0.000 0.500 0.500
O: 0.500 0.000 0.500
F: 0.000 0.000 0.500

=====

No. 11
DFT (GGA-PBE) results for a relaxed structure of CaIr2Pd2.

Symmetry: P4/mbm (127)
Formation energy from the elements: -0.025 eV per atom
Total magnetic moment: 0.00 μB/atom
N(E_F): 13.77 states/eV/cell

a = 7.792 Å, b = 7.792 Å, c = 2.848 Å
α = 90.00°, β = 90.00°, γ = 90.00°
Atoms (fractional coordinates):
Ca: 0.000 0.000 0.000
Ca: 0.500 0.500 0.000
Ir: 0.117 0.383 0.000
Ir: 0.383 0.883 0.000
Ir: 0.617 0.117 0.000
Ir: 0.883 0.617 0.000
Pd: 0.182 0.682 0.500
Pd: 0.318 0.182 0.500
Pd: 0.682 0.818 0.500
Pd: 0.818 0.318 0.500